Entry i
# Y2MgAs

A relaxed structure of Y2MgAs (PBE, the Alexandria database).

As for the density: 4.7 Mg/m³. For the total magnetization, the calculation gives 0.0 μB/f.u.

The structure belongs to space group P4/mmm (No. 123); the cell edges are 3.7903, 3.7903 and 6.7551 Å and the angles 90.00°, 90.00° and 90.00°. The asymmetric unit holds Y at (0.0000, 0.0000, 0.2326), Mg at (0.5000, 0.5000, 0.5000) and As at (0.5000, 0.5000, 0.0000).



Entry ii
# Y2MgAs

A relaxed structure of Y2MgAs (PBE, the Alexandria database).

As for the density: 4.7 Mg/m³. For the total magnetization, the calculation gives 0.0 μB/f.u.

The structure belongs to space group Fm-3m (No. 225); the cell edges are 7.3238, 7.3238 and 7.3238 Å and the angles 90.00°, 90.00° and 90.00°. The asymmetric unit holds Y at (0.2500, 0.2500, 0.2500), Mg at (0.0000, 0.0000, 0.0000) and As at (0.0000, 0.0000, 0.5000).



Entry iii
# Y2MgAs

A relaxed structure of Y2MgAs (PBE, the Alexandria database).

As for the density: 4.4 Mg/m³. For the total magnetization, the calculation gives 0.0 μB/f.u.

The structure belongs to space group P4mm (No. 99); the cell edges are 4.1270, 4.1270 and 6.0906 Å and the angles 90.00°, 90.00° and 90.00°. The asymmetric unit holds Y at (0.0000, 0.0000, 0.0000), Y at (0.5000, 0.5000, 0.3374), Mg at (0.5000, 0.5000, 0.8253) and As at (0.0000, 0.0000, 0.4938).



Which structure is the most stable? The one labeled entry i.



Entry i
# Y2MgAs

A relaxed structure of Y2MgAs (PBE, the Alexandria database).

As for the density: 4.1 Mg/m³. For the total magnetization, the calculation gives 0.0 μB/f.u.

The structure belongs to space group I-42d (No. 122); the cell edges are 8.1278, 8.1278 and 6.7727 Å and the angles 90.00°, 90.00° and 90.00°. The asymmetric unit holds Y at (0.2125, 0.7500, 0.1250), Mg at (0.0000, 0.0000, 0.5000) and As at (0.0000, 0.0000, 0.0000).



Entry ii
# Y2MgAs

A relaxed structure of Y2MgAs (PBE, the Alexandria database).

As for the density: 4.4 Mg/m³. For the total magnetization, the calculation gives 0.0 μB/f.u.

The structure belongs to space group Cmmm (No. 65); the cell edges are 4.5248, 5.4797 and 8.4740 Å and the angles 90.00°, 90.00° and 90.00°. The asymmetric unit holds Y at (0.0000, 0.0000, 0.2106), Mg at (0.0000, 0.5000, 0.5000) and As at (0.0000, 0.5000, 0.0000).



Which structure is the most stable? The one labeled entry ii.



Entry i
# YMg3As

A relaxed structure of YMg3As (PBE, the Alexandria database).

As for the density: 2.0 Mg/m³. For the total magnetization, the calculation gives 0.0 μB/f.u.

The structure belongs to space group Pm-3m (No. 221); the cell edges are 5.7816, 5.7816 and 5.7816 Å and the angles 90.00°, 90.00° and 90.00°. The asymmetric unit holds Y at (0.0000, 0.0000, 0.0000), Mg at (0.0000, 0.0000, 0.5000) and As at (0.5000, 0.5000, 0.5000).



Entry ii
# YMg3As

A relaxed structure of YMg3As (PBE, the Alexandria database).

As for the density: 2.9 Mg/m³. For the total magnetization, the calculation gives 0.0 μB/f.u.

The structure belongs to space group Pm-3m (No. 221); the cell edges are 5.1195, 5.1195 and 5.1195 Å and the angles 90.00°, 90.00° and 90.00°. The asymmetric unit holds Y at (0.0000, 0.0000, 0.0000), Mg at (0.0000, 0.5000, 0.5000) and As at (0.5000, 0.5000, 0.5000).



Which structure is the most stable? The one labeled entry ii.



Entry i
# Mg2ZnAs

A relaxed structure of Mg2ZnAs (PBE, the Alexandria database).

As for the density: 4.1 Mg/m³. For the total magnetization, the calculation gives 0.0 μB/f.u.

The structure belongs to space group I-4m2 (No. 119); the cell edges are 3.9835, 3.9835 and 9.5753 Å and the angles 90.00°, 90.00° and 90.00°. The asymmetric unit holds Mg at (0.0000, 0.0000, 0.0000), Mg at (0.0000, 0.5000, 0.2500), Zn at (0.0000, 0.5000, 0.7500) and As at (0.0000, 0.0000, 0.5000).



Entry ii
# Mg2ZnAs

A relaxed structure of Mg2ZnAs (PBE, the Alexandria database).

As for the density: 3.6 Mg/m³. For the total magnetization, the calculation gives 0.0 μB/f.u.

The structure belongs to space group I-42d (No. 122); the cell edges are 4.4232, 4.4232 and 17.7230 Å and the angles 90.00°, 90.00° and 90.00°. The asymmetric unit holds Mg at (0.2411, 0.2500, 0.1250), Zn at (0.0000, 0.0000, 0.0000) and As at (0.0000, 0.0000, 0.5000).



Which structure is the most stable? The one labeled entry i.



Entry i
# Mg2ZnAs

A relaxed structure of Mg2ZnAs (PBE, the Alexandria database).

As for the density: 4.2 Mg/m³. For the total magnetization, the calculation gives 0.0 μB/f.u.

The structure belongs to space group P4/mmm (No. 123); the cell edges are 4.4224, 4.4224 and 3.8462 Å and the angles 90.00°, 90.00° and 90.00°. The asymmetric unit holds Mg at (0.0000, 0.5000, 0.0000), Zn at (0.0000, 0.0000, 0.5000) and As at (0.5000, 0.5000, 0.5000).



Entry ii
# Mg2ZnAs

A relaxed structure of Mg2ZnAs (PBE, the Alexandria database).

As for the density: 4.2 Mg/m³. For the total magnetization, the calculation gives 0.0 μB/f.u.

The structure belongs to space group Cmmm (No. 65); the cell edges are 6.2002, 7.9963 and 3.0399 Å and the angles 90.00°, 90.00° and 90.00°. The asymmetric unit holds Mg at (0.2500, 0.2500, 0.0000), Zn at (0.0000, 0.0000, 0.5000) and As at (0.0000, 0.5000, 0.5000).



Which structure is the most stable? The one labeled entry i.



Entry i
# Mg2ZnAs

A relaxed structure of Mg2ZnAs (PBE, the Alexandria database).

As for the density: 4.0 Mg/m³. For the total magnetization, the calculation gives 0.0 μB/f.u.

The structure belongs to space group R-3m (No. 166, hexagonal axes); the cell edges are 3.2455, 3.2455 and 25.6548 Å and the angles 90.00°, 90.00° and 120.00°. The asymmetric unit holds Mg at (0.0000, 0.0000, 0.2472), Zn at (0.0000, 0.0000, 0.5000) and As at (0.0000, 0.0000, 0.0000).



Entry ii
# Mg2ZnAs

A relaxed structure of Mg2ZnAs (PBE, the Alexandria database).

As for the density: 3.9 Mg/m³. For the total magnetization, the calculation gives 0.0 μB/f.u.

The structure belongs to space group Cmm2 (No. 35); the cell edges are 4.2578, 4.5739 and 8.2236 Å and the angles 90.00°, 90.00° and 90.00°. The asymmetric unit holds Mg at (0.0000, 0.0000, 0.0000), Mg at (0.0000, 0.5000, 0.2912), Zn at (0.0000, 0.0000, 0.5305) and As at (0.0000, 0.5000, 0.7659).



Entry iii
# Mg2ZnAs

A relaxed structure of Mg2ZnAs (PBE, the Alexandria database).

As for the density: 4.0 Mg/m³. For the total magnetization, the calculation gives 0.0 μB/f.u.

The structure belongs to space group Fm-3m (No. 225); the cell edges are 6.7946, 6.7946 and 6.7946 Å and the angles 90.00°, 90.00° and 90.00°. The asymmetric unit holds Mg at (0.2500, 0.2500, 0.2500), Zn at (0.0000, 0.0000, 0.0000) and As at (0.0000, 0.0000, 0.5000).



Which structure is the most stable? The one labeled entry iii.



Entry i
# Mg2ZnAs

A relaxed structure of Mg2ZnAs (PBE, the Alexandria database).

As for the density: 3.9 Mg/m³. For the total magnetization, the calculation gives 0.0 μB/f.u.

The structure belongs to space group F-43m (No. 216); the cell edges are 6.8388, 6.8388 and 6.8388 Å and the angles 90.00°, 90.00° and 90.00°. The asymmetric unit holds Mg at (0.0000, 0.0000, 0.0000), Mg at (0.2500, 0.2500, 0.2500), Zn at (0.2500, 0.2500, 0.7500) and As at (0.0000, 0.0000, 0.5000).



Entry ii
# Mg2ZnAs

A relaxed structure of Mg2ZnAs (PBE, the Alexandria database).

As for the density: 4.0 Mg/m³. For the total magnetization, the calculation gives 0.0 μB/f.u.

The structure belongs to space group Pm (No. 6); the cell edges are 3.9918, 3.9240 and 5.3803 Å and the angles 90.00°, 111.66° and 90.00°. The asymmetric unit holds Mg at (0.0000, 0.0000, 0.0000), Mg at (0.2833, 0.5000, 0.5696), Zn at (0.7257, 0.0000, 0.4577) and As at (0.5607, 0.5000, 0.1193).



Entry iii
# Mg2ZnAs

A relaxed structure of Mg2ZnAs (PBE, the Alexandria database).

As for the density: 4.1 Mg/m³. For the total magnetization, the calculation gives 0.0 μB/f.u.

The structure belongs to space group P4/mmm (No. 123); the cell edges are 3.4472, 3.4472 and 6.3879 Å and the angles 90.00°, 90.00° and 90.00°. The asymmetric unit holds Mg at (0.0000, 0.0000, 0.2452), Zn at (0.5000, 0.5000, 0.5000) and As at (0.5000, 0.5000, 0.0000).



Which structure is the most stable? The one labeled entry ii.



Entry i
# MgZnAs3

A relaxed structure of MgZnAs3 (PBE, the Alexandria database).

As for the density: 4.5 Mg/m³. For the total magnetization, the calculation gives 0.0 μB/f.u.

The structure belongs to space group Pm-3m (No. 221); the cell edges are 4.8694, 4.8694 and 4.8694 Å and the angles 90.00°, 90.00° and 90.00°. The asymmetric unit holds Mg at (0.0000, 0.0000, 0.0000), Zn at (0.5000, 0.5000, 0.5000) and As at (0.0000, 0.5000, 0.5000).



Entry ii
# MgZnAs3

A relaxed structure of MgZnAs3 (PBE, the Alexandria database).

As for the density: 4.3 Mg/m³. For the total magnetization, the calculation gives 0.0 μB/f.u.

The structure belongs to space group Pm-3m (No. 221); the cell edges are 4.9695, 4.9695 and 4.9695 Å and the angles 90.00°, 90.00° and 90.00°. The asymmetric unit holds Mg at (0.0000, 0.0000, 0.0000), Zn at (0.5000, 0.5000, 0.5000) and As at (0.0000, 0.0000, 0.5000).



Which structure is the most stable? The one labeled entry i.